<a>
TbNd6Ho2 after structural relaxation, computed with PBE.

abc: 6.260 10.154 10.154
angles: 71.40 85.06 85.06
Atoms (fractional coordinates):
1 Ho 0.917 0.766 0.567
2 Ho 0.083 0.234 0.433
3 Ho 0.583 0.433 0.234
4 Ho 0.417 0.567 0.766
5 Nd 0.319 0.740 0.021
6 Nd 0.347 0.926 0.645
7 Nd 0.514 0.312 0.593
8 Nd 0.847 0.645 0.926
9 Nd 0.153 0.355 0.074
10 Nd 0.986 0.407 0.688
11 Nd 0.181 0.979 0.260
12 Nd 0.681 0.260 0.979
13 Nd 0.014 0.593 0.312
14 Nd 0.653 0.074 0.355
15 Nd 0.819 0.021 0.740
16 Nd 0.486 0.688 0.407
17 Tb 0.750 0.901 0.099
18 Tb 0.250 0.099 0.901

Properties
Space-group type = C2/c (15)

<b>
TbNd6Ho2 after structural relaxation, computed with PBE.

abc: 3.670 10.056 10.056
angles: 55.92 90.00 90.00
Atoms (fractional coordinates):
1 Nd 0.500 0.683 0.317
2 Nd 0.000 0.841 0.489
3 Nd 0.000 0.511 0.159
4 Nd 0.000 0.489 0.841
5 Nd 0.000 0.159 0.511
6 Nd 0.500 0.317 0.683
7 Ho 0.500 0.178 0.178
8 Ho 0.500 0.822 0.822
9 Tb 0.000 0.000 0.000

Properties
Space-group type = Cmmm (65)

Most stable: <a>. Least stable: <b>.

<a>
TbNd2Ho2 after structural relaxation, computed with PBE.

abc: 6.332 8.549 9.658
angles: 43.44 70.86 68.26
Atoms (fractional coordinates):
1 Nd 0.785 0.752 0.849
2 Nd 0.215 0.248 0.151
3 Nd 0.614 0.252 0.349
4 Nd 0.386 0.748 0.651
5 Ho 0.015 0.256 0.549
6 Ho 0.180 0.756 0.049
7 Ho 0.820 0.244 0.951
8 Ho 0.985 0.744 0.451
9 Tb 0.584 0.750 0.250
10 Tb 0.416 0.250 0.750

Properties
Space-group type = C2/c (15)

<b>
TbNd2Ho2 after structural relaxation, computed with PBE.

abc: 9.057 9.057 6.091
angles: 118.63 118.63 95.33
Atoms (fractional coordinates):
1 Tb 0.937 0.063 0.750
2 Tb 0.063 0.937 0.250
3 Ho 0.671 0.329 0.750
4 Ho 0.329 0.671 0.250
5 Ho 0.196 0.804 0.750
6 Ho 0.804 0.196 0.250
7 Nd 0.760 0.608 0.494
8 Nd 0.240 0.392 0.506
9 Nd 0.392 0.240 0.006
10 Nd 0.608 0.760 0.994

Properties
Space-group type = C2/c (15)

Most stable: <a>. Least stable: <b>.